# TaRe2Os SCAN PBEsol geometry
data_TaRe2Os
_chemical_formula_sum 'Ta1 Re2 Os1'
_cell_length_a 2.767
_cell_length_b 2.767
_cell_length_c 7.971
_cell_angle_alpha 90.00
_cell_angle_beta 90.00
_cell_angle_gamma 90.00
_space_group_name_H-M_alt 'P 4 m m'
_space_group_IT_number 99
loop_
_space_group_symop_operation_xyz
'x,y,z'
'-y,x,z'
'-x,-y,z'
'y,-x,z'
'-x,y,z'
'y,x,z'
'x,-y,z'
'-y,-x,z'
loop_
_atom_site_label
_atom_site_type_symbol
_atom_site_fract_x
_atom_site_fract_y
_atom_site_fract_z
Ta1 Ta 0.000 0.000 0.000
Re1 Re 0.000 0.000 0.490
Re2 Re 0.500 0.500 0.730
Os1 Os 0.500 0.500 0.263
# Crystal system: tetragonal
# Offset from the most stable computed form: 0 meV per atom
# Total magnetic moment: 0.000 μB per cell
# DFT total energy: -2.579 Ha/atom

# TaRe2Os SCAN PBEsol geometry
data_TaRe2Os
_chemical_formula_sum 'Ta2 Re4 Os2'
_cell_length_a 3.141
_cell_length_b 4.388
_cell_length_c 8.828
_cell_angle_alpha 90.00
_cell_angle_beta 90.00
_cell_angle_gamma 90.00
_space_group_name_H-M_alt 'I m m m'
_space_group_IT_number 71
_space_group_name_Hall '-I 2 2'
loop_
_atom_site_label
_atom_site_type_symbol
_atom_site_fract_x
_atom_site_fract_y
_atom_site_fract_z
Ta1 Ta 0.000 0.000 0.000
Re1 Re 0.000 0.500 0.261
Os1 Os 0.000 0.000 0.500
# Crystal system: orthorhombic
# Offset from the most stable computed form: 0 meV per atom
# Total magnetic moment: 0.000 μB per cell
# DFT total energy: -2.579 Ha/atom

# TaReOs2 SCAN PBEsol geometry
data_TaReOs2
_chemical_formula_sum 'Ta3 Re3 Os6'
_cell_length_a 2.7602
_cell_length_b 2.7602
_cell_length_c 27.3401
_cell_angle_alpha 90.00
_cell_angle_beta 90.00
_cell_angle_gamma 120.00
_space_group_name_H-M_alt 'R 3 m'
_space_group_IT_number 160
_space_group_name_Hall 'R 3 -2"'
loop_
_atom_site_label
_atom_site_type_symbol
_atom_site_fract_x
_atom_site_fract_y
_atom_site_fract_z
Ta1 Ta 0.0000 0.0000 0.0000
Re1 Re 0.0000 0.0000 0.2438
Os1 Os 0.0000 0.0000 0.4990
Os2 Os 0.0000 0.0000 0.7515
# Crystal system: trigonal
# Total magnetic moment: 0.000 μB per cell
# DFT total energy: -2.581 Ha/atom

Calculated values (states/eV/atom) of Fermi-level density of states for the records, taken in order: 0.87 0.59 0.86.
Calculated values (eV/atom) of formation energy from the elements for the records, taken in order: -0.023 -0.023 0.126.
Calculated values (g/cm³) of mass density for the records, taken in order: 20.23 20.30 20.65.